PBE-GGA Ac5Ga2Au2, optimized geometry; ΔE_f = -519 meV per atom; N(E_F) = 0.99 states/eV per atom; calculated volume = 32.85 A^3/atom; total energy = -37.8 eV per formula unit
1.0
-8.1619 -1.3630 -2.0238
-1.4680 -2.7162 7.7498
-1.1464 9.1118 -1.5135
Ac Ga Au
10 4 4
direct
0.3329 0.9688 0.2796
0.8329 0.8108 0.2796
0.5000 0.5000 0.0000
0.8329 0.5312 0.7204
0.0000 0.0000 0.0000
0.6671 0.0312 0.7204
0.6671 0.3108 0.2796
0.3329 0.6892 0.7204
0.1671 0.1892 0.7204
0.1671 0.4688 0.2796
0.5000 0.2942 0.5884
0.0000 0.2058 0.4116
0.0000 0.7942 0.5884
0.5000 0.7058 0.4116
0.6271 0.8736 0.0000
0.3729 0.1264 0.0000
0.8729 0.3736 0.0000
0.1271 0.6264 0.0000

=====

PBE-GGA CsAcAl, optimized geometry; ΔE_f = 181 meV per atom; N(E_F) = 1.43 states/eV per atom; calculated volume = 44.68 A^3/atom; total energy = -8.2 eV per formula unit
1.0
-1.7446 1.3226 3.1913
2.8405 -1.4855 2.1685
8.5453 15.4362 -4.0727
Cs Al Ac
2 2 2
direct
0.5635 0.5635 0.1271
0.4365 0.4365 0.8729
0.2674 0.2674 0.5347
0.7326 0.7326 0.4653
0.8255 0.8255 0.6510
0.1745 0.1745 0.3490

=====

PBE-GGA CuGeAu6, optimized geometry; ΔE_f = 38 meV per atom; N(E_F) = 0.45 states/eV per atom; calculated volume = 17.43 A^3/atom; total energy = -28.1 eV per formula unit
1.0
4.1475 0.0003 1.2488
-0.3763 4.1302 1.2493
-0.1575 -0.1733 8.0346
Au Ge Cu
6 1 1
direct
0.8845 0.3846 0.2309
0.1155 0.6154 0.7691
0.2517 0.2517 0.4966
0.6154 0.1154 0.7691
0.7483 0.7483 0.5034
0.3846 0.8846 0.2309
0.0000 0.0000 0.0000
0.5000 0.5000 0.0000

=====

PBE-GGA PmCoOs, optimized geometry; ΔE_f = 232 meV per atom; N(E_F) = 0.81 states/eV per atom; calculated volume = 21.97 A^3/atom; total energy = -22.4 eV per formula unit
1.0
6.6682 0.0000 0.0000
0.0000 6.6682 0.0000
0.0000 0.0000 5.9300
Pm Os Co
4 4 4
direct
0.7493 0.2507 0.2500
0.2493 0.2493 0.5000
0.7507 0.7507 0.0000
0.2507 0.7493 0.7500
0.1235 0.1235 0.0000
0.3765 0.6235 0.2500
0.8765 0.8765 0.5000
0.6235 0.3765 0.7500
0.3656 0.3656 0.0000
0.6344 0.6344 0.5000
0.8656 0.1344 0.7500
0.1344 0.8656 0.2500

=====

Repeat the first record exactly.
PBE-GGA Ac5Ga2Au2, optimized geometry; ΔE_f = -519 meV per atom; N(E_F) = 0.99 states/eV per atom; calculated volume = 32.85 A^3/atom; total energy = -37.8 eV per formula unit
1.0
-8.1619 -1.3630 -2.0238
-1.4680 -2.7162 7.7498
-1.1464 9.1118 -1.5135
Ac Ga Au
10 4 4
direct
0.3329 0.9688 0.2796
0.8329 0.8108 0.2796
0.5000 0.5000 0.0000
0.8329 0.5312 0.7204
0.0000 0.0000 0.0000
0.6671 0.0312 0.7204
0.6671 0.3108 0.2796
0.3329 0.6892 0.7204
0.1671 0.1892 0.7204
0.1671 0.4688 0.2796
0.5000 0.2942 0.5884
0.0000 0.2058 0.4116
0.0000 0.7942 0.5884
0.5000 0.7058 0.4116
0.6271 0.8736 0.0000
0.3729 0.1264 0.0000
0.8729 0.3736 0.0000
0.1271 0.6264 0.0000

=====

> What is the formula in the first record?

Ac5Ga2Au2

=====

> The highest total energy belongs to which entry?

CsAcAl

=====

> What is the ΔE_f in the fourth record?

232 meV per atom